Model 1:
DFT (PBE) results for a geometry-optimized Mg5AgRh structure.

The density of states at the Fermi level is 2.6 states/eV/f.u. As for the total magnetization: 0.0 μB/cell.

The space group is Cmcm (No. 63) and the conventional cell measures 7.510, 6.191 and 11.794 Å, with angles of 90.00, 90.00 and 90.00 degrees. Symmetry generates all atoms from Mg at (0.000, 0.162, 0.250), Mg at (0.206, 0.155, 0.605), Ag at (0.000, 0.412, 0.750) and Rh at (0.000, 0.500, 0.000).

=====

Model 2:
DFT (PBE) results for a geometry-optimized Mg5AgRh structure.

The density of states at the Fermi level is 3.2 states/eV/f.u. As for the total magnetization: 0.0 μB/cell.

The space group is P4/mmm (No. 123) and the conventional cell measures 4.571, 4.571 and 6.726 Å, with angles of 90.00, 90.00 and 90.00 degrees. Symmetry generates all atoms from Mg at (0.000, 0.000, 0.000), Mg at (0.000, 0.500, 0.288), Ag at (0.500, 0.500, 0.000) and Rh at (0.000, 0.000, 0.500).

=====

Quick one: most stable of them? model 2

=====

Model 1:
DFT (PBE) results for a geometry-optimized Mg4AgRh2 structure.

The density of states at the Fermi level is 2.5 states/eV/f.u. As for the total magnetization: 0.0 μB/cell.

The space group is R-3m (No. 166, hexagonal axes) and the conventional cell measures 4.5088, 4.5088 and 21.3322 Å, with angles of 90.00, 90.00 and 120.00 degrees. Symmetry generates all atoms from Mg at (0.0000, 0.0000, 0.1123), Mg at (0.0000, 0.0000, 0.3679), Ag at (0.0000, 0.0000, 0.5000) and Rh at (0.0000, 0.0000, 0.2417).

=====

Model 2:
DFT (PBE) results for a geometry-optimized Mg4AgRh2 structure.

The density of states at the Fermi level is 4.3 states/eV/f.u. As for the total magnetization: 0.0 μB/cell.

The space group is I-42d (No. 122) and the conventional cell measures 7.909, 7.909 and 7.980 Å, with angles of 90.00, 90.00 and 90.00 degrees. Symmetry generates all atoms from Mg at (0.081, 0.166, 0.309), Ag at (0.000, 0.000, 0.000) and Rh at (0.138, 0.250, 0.625).

=====

Quick one: most stable of them? model 1

=====

Model 1:
DFT (PBE) results for a geometry-optimized Mg3AgRh structure.

The density of states at the Fermi level is 2.1 states/eV/f.u. As for the total magnetization: 0.0 μB/cell.

The space group is Pm-3m (No. 221) and the conventional cell measures 4.892, 4.892 and 4.892 Å, with angles of 90.00, 90.00 and 90.00 degrees. Symmetry generates all atoms from Mg at (0.000, 0.000, 0.500), Ag at (0.500, 0.500, 0.500) and Rh at (0.000, 0.000, 0.000).

=====

Model 2:
DFT (PBE) results for a geometry-optimized Mg3AgRh structure.

The density of states at the Fermi level is 2.2 states/eV/f.u. As for the total magnetization: 0.0 μB/cell.

The space group is Cmcm (No. 63) and the conventional cell measures 4.629, 16.389 and 4.639 Å, with angles of 90.00, 90.00 and 90.00 degrees. Symmetry generates all atoms from Mg at (0.000, 0.060, 0.250), Mg at (0.000, 0.249, 0.250), Mg at (0.000, 0.435, 0.250), Ag at (0.000, 0.344, 0.750) and Rh at (0.000, 0.151, 0.750).

=====

Quick one: most stable of them? model 2

=====

Model 1:
DFT (PBE) results for a geometry-optimized Mg6AgRh structure.

The density of states at the Fermi level is 3.0 states/eV/f.u. As for the total magnetization: 0.0 μB/cell.

The space group is C2/m (No. 12) and the conventional cell measures 6.015, 10.381 and 6.207 Å, with angles of 90.00, 114.78 and 90.00 degrees. Symmetry generates all atoms from Mg at (0.235, 0.200, 0.242), Mg at (0.245, 0.000, 0.759), Ag at (0.000, 0.500, 0.500) and Rh at (0.000, 0.000, 0.000).

=====

Model 2:
DFT (PBE) results for a geometry-optimized Mg6AgRh structure.

The density of states at the Fermi level is 2.5 states/eV/f.u. As for the total magnetization: 0.0 μB/cell.

The space group is I4/mmm (No. 139) and the conventional cell measures 4.612, 4.612 and 14.673 Å, with angles of 90.00, 90.00 and 90.00 degrees. Symmetry generates all atoms from Mg at (0.000, 0.000, 0.244), Mg at (0.000, 0.500, 0.105), Ag at (0.000, 0.000, 0.500) and Rh at (0.000, 0.000, 0.000).

=====

Quick one: most stable of them? model 2

=====

Model 1:
DFT (PBE) results for a geometry-optimized Mg2AgRh2 structure.

The density of states at the Fermi level is 2.7 states/eV/f.u. As for the total magnetization: 0.0 μB/cell.

The space group is P4/mbm (No. 127) and the conventional cell measures 7.217, 7.217 and 3.202 Å, with angles of 90.00, 90.00 and 90.00 degrees. Symmetry generates all atoms from Mg at (0.166, 0.334, 0.000), Ag at (0.000, 0.000, 0.500) and Rh at (0.132, 0.632, 0.500).

=====

Model 2:
DFT (PBE) results for a geometry-optimized Mg2AgRh2 structure.

The density of states at the Fermi level is 2.1 states/eV/f.u. As for the total magnetization: 0.0 μB/cell.

The space group is P4/mbm (No. 127) and the conventional cell measures 7.191, 7.191 and 3.133 Å, with angles of 90.00, 90.00 and 90.00 degrees. Symmetry generates all atoms from Mg at (0.141, 0.359, 0.000), Ag at (0.000, 0.000, 0.000) and Rh at (0.156, 0.656, 0.500).

=====

Quick one: most stable of them? model 1

=====

Model 1:
DFT (PBE) results for a geometry-optimized Mg8AgRh2 structure.

The density of states at the Fermi level is 3.9 states/eV/f.u. As for the total magnetization: 0.0 μB/cell.

The space group is C2/m (No. 12) and the conventional cell measures 14.531, 4.451 and 6.895 Å, with angles of 90.00, 112.98 and 90.00 degrees. Symmetry generates all atoms from Mg at (0.040, 0.000, 0.233), Mg at (0.119, 0.500, 0.960), Mg at (0.162, 0.000, 0.731), Mg at (0.179, 0.500, 0.421), Ag at (0.000, 0.500, 0.500) and Rh at (0.211, 0.000, 0.158).

=====

Model 2:
DFT (PBE) results for a geometry-optimized Mg8AgRh2 structure.

The density of states at the Fermi level is 5.8 states/eV/f.u. As for the total magnetization: 0.0 μB/cell.

The space group is Cmmm (No. 65) and the conventional cell measures 8.425, 11.113 and 4.512 Å, with angles of 90.00, 90.00 and 90.00 degrees. Symmetry generates all atoms from Mg at (0.000, 0.242, 0.000), Mg at (0.163, 0.000, 0.000), Mg at (0.175, 0.364, 0.500), Ag at (0.000, 0.500, 0.000) and Rh at (0.000, 0.122, 0.500).

=====

Quick one: most stable of them? model 1